NdDy5Y2Er PBE optimized geometry; crystal system = orthorhombic; space-group type = No. 36
1.0
-0.395 4.569 3.260
1.561 -7.897 6.401
10.447 1.447 -0.762
Dy Y Er Nd
10 4 2 2
direct
0.612 0.224 0.522
0.388 0.776 0.022
0.521 0.041 0.238
0.702 0.404 0.208
0.479 0.959 0.738
0.019 0.038 0.024
0.981 0.962 0.524
0.718 0.436 0.812
0.282 0.564 0.312
0.298 0.596 0.708
0.889 0.778 0.234
0.886 0.773 0.819
0.114 0.227 0.319
0.111 0.222 0.734
0.201 0.402 0.011
0.799 0.598 0.511
0.416 0.832 0.454
0.584 0.168 0.954

=====

Nd4DyY2Er2 PBE optimized geometry; crystal system = monoclinic; space-group type = No. 12
1.0
5.094 0.000 0.000
-2.547 7.651 0.017
0.000 -2.558 7.634
Y Nd Er Dy
2 4 2 1
direct
0.888 0.777 0.330
0.112 0.223 0.670
0.554 0.109 0.330
0.778 0.556 0.669
0.222 0.444 0.331
0.446 0.891 0.670
0.333 0.666 0.000
0.667 0.334 0.000
0.000 0.000 0.000

=====

Nd3DyY6Er2 PBE optimized geometry; crystal system = monoclinic; space-group type = No. 12
1.0
6.215 0.001 0.005
-3.105 5.384 0.005
-1.042 -1.804 11.667
Y Er Nd Dy
6 2 3 1
direct
0.918 0.584 0.754
0.416 0.082 0.246
0.584 0.918 0.754
0.749 0.749 0.246
0.251 0.251 0.754
0.082 0.416 0.246
0.667 0.333 0.000
0.333 0.667 0.000
0.500 0.500 0.500
0.833 0.167 0.500
0.167 0.833 0.500
0.000 0.000 0.000

=====

Nd4Dy2YEr2 PBE optimized geometry; crystal system = monoclinic; space-group type = No. 12
1.0
5.089 0.000 0.000
-2.544 7.649 0.009
0.000 -2.557 7.631
Er Nd Dy Y
2 4 2 1
direct
0.668 0.335 0.000
0.332 0.665 0.000
0.777 0.554 0.668
0.446 0.892 0.668
0.223 0.446 0.332
0.554 0.108 0.332
0.888 0.777 0.331
0.112 0.223 0.669
0.000 0.000 0.000

=====

NdDyY6Er2 PBE optimized geometry; crystal system = monoclinic; space-group type = No. 15
1.0
9.207 -2.033 -2.110
0.726 8.517 -1.939
0.726 -2.254 8.439
Y Er Dy Nd
12 4 2 2
direct
0.881 0.295 0.505
0.818 0.428 0.978
0.318 0.978 0.428
0.444 0.247 0.881
0.682 0.022 0.572
0.119 0.705 0.495
0.556 0.753 0.119
0.619 0.495 0.705
0.944 0.881 0.247
0.056 0.119 0.753
0.381 0.505 0.295
0.182 0.572 0.022
0.954 0.707 0.807
0.046 0.293 0.193
0.546 0.193 0.293
0.454 0.807 0.707
0.250 0.975 0.025
0.750 0.025 0.975
0.250 0.406 0.594
0.750 0.594 0.406

=====

Nd2Dy2Y4Er PBE optimized geometry; crystal system = monoclinic; space-group type = No. 12
1.0
3.616 0.000 0.000
-1.808 9.363 -0.502
0.000 -3.697 8.859
Nd Y Dy Er
2 4 2 1
direct
0.335 0.670 0.003
0.665 0.330 0.997
0.481 0.961 0.665
0.814 0.629 0.665
0.519 0.039 0.335
0.186 0.371 0.335
0.148 0.295 0.664
0.852 0.705 0.336
0.000 0.000 0.000

=====

Nd2DyY6Er3 PBE optimized geometry; crystal system = monoclinic; space-group type = No. 12
1.0
6.186 0.002 0.007
-3.090 5.359 0.007
-1.040 -1.801 11.640
Y Nd Dy Er
6 2 1 3
direct
0.583 0.915 0.747
0.248 0.248 0.747
0.085 0.417 0.253
0.915 0.583 0.747
0.417 0.085 0.253
0.752 0.752 0.253
0.667 0.333 0.000
0.333 0.667 0.000
0.000 0.000 0.000
0.834 0.166 0.500
0.166 0.834 0.500
0.500 0.500 0.500

=====

Nd2DyY2Er2 PBE optimized geometry; crystal system = monoclinic; space-group type = No. 12
1.0
-1.489 -2.771 1.533
7.402 1.208 5.379
-6.978 4.592 1.522
Er Dy Nd Y
2 1 2 2
direct
0.211 0.423 0.623
0.789 0.577 0.377
0.000 0.000 0.500
0.352 0.703 0.091
0.648 0.297 0.909
0.570 0.140 0.236
0.430 0.860 0.764

=====

NdDy6YEr2 PBE optimized geometry; crystal system = monoclinic; space-group type = No. 15
1.0
9.057 -2.023 -2.100
0.869 8.508 -2.012
0.869 -2.326 8.428
Er Dy Y Nd
4 12 2 2
direct
0.454 0.801 0.696
0.046 0.304 0.199
0.546 0.199 0.304
0.954 0.696 0.801
0.944 0.879 0.248
0.881 0.291 0.510
0.619 0.490 0.709
0.182 0.564 0.018
0.119 0.709 0.490
0.818 0.436 0.982
0.682 0.018 0.564
0.381 0.510 0.291
0.318 0.982 0.436
0.056 0.121 0.752
0.556 0.752 0.121
0.444 0.248 0.879
0.250 0.409 0.591
0.750 0.591 0.409
0.250 0.973 0.027
0.750 0.027 0.973

=====

NdDy6Y3Er2 PBE optimized geometry; crystal system = monoclinic; space-group type = No. 12
1.0
6.154 0.002 0.013
-3.074 5.331 0.013
-1.045 -1.810 11.603
Dy Y Er Nd
6 3 2 1
direct
0.749 0.749 0.250
0.418 0.084 0.250
0.582 0.916 0.750
0.916 0.582 0.750
0.251 0.251 0.750
0.084 0.418 0.250
0.833 0.167 0.500
0.500 0.500 0.500
0.167 0.833 0.500
0.667 0.333 0.000
0.333 0.667 0.000
0.000 0.000 0.000

=====

NdDyY2Er6 PBE optimized geometry; crystal system = monoclinic; space-group type = No. 15
1.0
8.951 -1.892 -1.963
0.923 8.504 -1.955
0.923 -2.268 8.425
Y Er Nd Dy
4 12 2 2
direct
0.450 0.799 0.696
0.050 0.304 0.201
0.550 0.201 0.304
0.950 0.696 0.799
0.059 0.121 0.757
0.886 0.291 0.519
0.318 0.986 0.439
0.182 0.561 0.014
0.614 0.481 0.709
0.559 0.757 0.121
0.386 0.519 0.291
0.818 0.439 0.986
0.114 0.709 0.481
0.682 0.014 0.561
0.441 0.243 0.879
0.941 0.879 0.243
0.750 0.033 0.967
0.250 0.967 0.033
0.250 0.411 0.589
0.750 0.589 0.411

=====

Nd2DyY3Er6 PBE optimized geometry; crystal system = monoclinic; space-group type = No. 12
1.0
-2.537 -0.671 -5.572
2.485 -4.859 2.854
-10.203 -0.492 5.836
Nd Er Y Dy
2 6 3 1
direct
0.667 0.333 0.000
0.333 0.667 0.000
0.583 0.916 0.749
0.417 0.084 0.251
0.084 0.417 0.251
0.249 0.249 0.749
0.751 0.751 0.251
0.916 0.583 0.749
0.834 0.166 0.500
0.500 0.500 0.500
0.166 0.834 0.500
0.000 0.000 0.000

=====

NdDyY2Er PBE optimized geometry; crystal system = orthorhombic; space-group type = No. 63
1.0
-2.866 6.314 -2.037
-0.077 -2.619 -8.009
-5.228 -0.838 4.758
Er Y Dy Nd
2 4 2 2
direct
0.250 0.275 0.550
0.750 0.725 0.450
0.500 0.310 0.000
0.000 0.310 0.000
0.000 0.690 0.000
0.500 0.690 0.000
0.250 0.997 0.993
0.750 0.003 0.007
0.250 0.729 0.457
0.750 0.271 0.543

=====

Nd6DyY3Er2 PBE optimized geometry; crystal system = monoclinic; space-group type = No. 12
1.0
6.278 0.000 0.009
-3.138 5.437 0.009
-1.060 -1.836 11.663
Nd Er Dy Y
6 2 1 3
direct
0.250 0.250 0.752
0.417 0.083 0.248
0.583 0.917 0.752
0.083 0.417 0.248
0.750 0.750 0.248
0.917 0.583 0.752
0.667 0.333 0.000
0.333 0.667 0.000
0.000 0.000 0.000
0.833 0.167 0.500
0.167 0.833 0.500
0.500 0.500 0.500

=====

Nd2DyY4Er2 PBE optimized geometry; crystal system = triclinic; space-group type = No. 2
1.0
6.308 2.439 0.878
1.525 9.618 2.290
-3.326 -4.032 4.073
Dy Er Y Nd
1 2 4 2
direct
0.000 0.000 0.000
0.822 0.446 0.035
0.178 0.554 0.965
0.614 0.760 0.504
0.255 0.114 0.793
0.745 0.886 0.207
0.386 0.240 0.496
0.271 0.656 0.607
0.729 0.344 0.393

=====

NdDy2Y3Er6 PBE optimized geometry; crystal system = monoclinic; space-group type = No. 12
1.0
6.136 0.002 0.013
-3.065 5.316 0.013
-1.044 -1.807 11.555
Dy Y Er Nd
2 3 6 1
direct
0.667 0.333 0.000
0.333 0.667 0.000
0.833 0.167 0.500
0.167 0.833 0.500
0.500 0.500 0.500
0.916 0.582 0.750
0.582 0.916 0.750
0.084 0.418 0.250
0.418 0.084 0.250
0.750 0.750 0.250
0.250 0.250 0.750
0.000 0.000 0.000

=====

Nd6Dy3Y2Er PBE optimized geometry; crystal system = monoclinic; space-group type = No. 12
1.0
6.279 -0.001 0.011
-3.138 5.438 0.011
-1.064 -1.841 11.673
Nd Y Er Dy
6 2 1 3
direct
0.584 0.916 0.750
0.416 0.084 0.250
0.916 0.584 0.750
0.084 0.416 0.250
0.751 0.751 0.250
0.249 0.249 0.750
0.667 0.333 0.000
0.333 0.667 0.000
0.000 0.000 0.000
0.500 0.500 0.500
0.833 0.167 0.500
0.167 0.833 0.500

=====

Nd2DyY6Er PBE optimized geometry; crystal system = monoclinic; space-group type = No. 15
1.0
9.285 -2.136 -2.217
0.679 8.533 -1.987
0.679 -2.302 8.454
Y Nd Dy Er
12 4 2 2
direct
0.687 0.019 0.575
0.187 0.575 0.019
0.618 0.497 0.705
0.882 0.295 0.503
0.813 0.425 0.981
0.557 0.746 0.123
0.382 0.503 0.295
0.057 0.123 0.746
0.313 0.981 0.425
0.943 0.877 0.254
0.118 0.705 0.497
0.443 0.254 0.877
0.956 0.706 0.806
0.044 0.294 0.194
0.456 0.806 0.706
0.544 0.194 0.294
0.250 0.982 0.018
0.750 0.018 0.982
0.750 0.594 0.406
0.250 0.406 0.594

=====

NdDyYEr PBE optimized geometry; crystal system = cubic; space-group type = No. 216
1.0
5.702 0.000 0.000
2.851 4.938 0.000
2.851 1.646 4.656
Dy Er Y Nd
1 1 1 1
direct
0.500 0.500 0.500
0.750 0.750 0.750
0.250 0.250 0.250
0.000 0.000 0.000

=====

NdDy2Y2Er PBE optimized geometry; crystal system = orthorhombic; space-group type = No. 58
1.0
3.397 0.000 0.000
0.000 6.603 0.000
0.000 0.000 17.730
Dy Y Nd Er
4 4 2 2
direct
0.000 0.265 0.148
0.500 0.235 0.648
0.500 0.765 0.352
0.000 0.735 0.852
0.500 0.265 0.317
0.500 0.735 0.683
0.000 0.765 0.183
0.000 0.235 0.817
0.000 0.000 0.500
0.500 0.500 0.000
0.000 0.000 0.000
0.500 0.500 0.500

=====

| no. | DFT formation energy (eV per atom) |
| --- | --- |
| 1 | 0.16 |
| 2 | 0.02 |
| 3 | 0.02 |
| 4 | 0.02 |
| 5 | 0.12 |
| 6 | 0.00 |
| 7 | 0.02 |
| 8 | 0.15 |
| 9 | 0.12 |
| 10 | 0.02 |
| 11 | 0.13 |
| 12 | 0.02 |
| 13 | 0.39 |
| 14 | 0.01 |
| 15 | 0.08 |
| 16 | 0.02 |
| 17 | 0.01 |
| 18 | 0.11 |
| 19 | 0.12 |
| 20 | 0.27 |